Entry 1:
The following is a DFT calculation (PBE) of a relaxed structure of TbHo3Pb5.

Cell lengths 6.528, 9.537, 9.537 Å; angles 120.00, 90.00, 90.00 degrees
Atoms (fractional coordinates):
Tb: 0.000 0.000 0.000
Tb: 0.500 0.000 0.000
Ho: 0.750 0.380 0.000
Ho: 0.750 0.620 0.620
Ho: 0.750 0.000 0.380
Ho: 0.250 0.620 0.000
Ho: 0.250 0.380 0.380
Ho: 0.250 0.000 0.620
Pb: 0.000 0.333 0.667
Pb: 0.500 0.667 0.333
Pb: 0.000 0.667 0.333
Pb: 0.500 0.333 0.667
Pb: 0.750 0.710 0.000
Pb: 0.750 0.290 0.290
Pb: 0.750 0.000 0.710
Pb: 0.250 0.290 0.000
Pb: 0.250 0.710 0.710
Pb: 0.250 0.000 0.290

Space-group type: P6_3/mcm (193)
ΔH_f (0 K): -0.388 eV/atom
Density: 10.91 g/cm³
Final energy: -0.1649 hartree per atom

Entry 2:
The following is a DFT calculation (PBE) of a relaxed structure of Tb2HoPb.

Cell lengths 3.534, 3.534, 12.209 Å; angles 81.68, 81.68, 60.00 degrees
Atoms (fractional coordinates):
Pb: 0.000 0.000 0.000
Tb: 0.088 0.088 0.735
Tb: 0.912 0.912 0.265
Ho: 0.500 0.500 0.500

Space-group type: R-3m (166)
ΔH_f (0 K): 0.041 eV/atom
Density: 8.80 g/cm³
Final energy: -0.1597 hartree per atom

Entry 3:
The following is a DFT calculation (PBE) of a relaxed structure of Tb12Ho7Pb.

Cell lengths 8.626, 8.626, 8.626 Å; angles 88.57, 88.57, 88.57 degrees
Atoms (fractional coordinates):
Tb: 0.868 0.263 0.741
Tb: 0.737 0.259 0.132
Tb: 0.617 0.143 0.500
Tb: 0.857 0.500 0.383
Tb: 0.259 0.132 0.737
Tb: 0.500 0.383 0.857
Tb: 0.500 0.617 0.143
Tb: 0.741 0.868 0.263
Tb: 0.143 0.500 0.617
Tb: 0.383 0.857 0.500
Tb: 0.263 0.741 0.868
Tb: 0.132 0.737 0.259
Ho: 0.853 0.615 0.939
Ho: 0.385 0.061 0.147
Ho: 0.061 0.147 0.385
Ho: 0.500 0.500 0.500
Ho: 0.939 0.853 0.615
Ho: 0.615 0.939 0.853
Ho: 0.147 0.385 0.061
Pb: 0.000 0.000 0.000

Space-group type: R-3 (148)
ΔH_f (0 K): 0.153 eV/atom
Density: 8.47 g/cm³
Final energy: -0.1622 hartree per atom

Entry 4:
The following is a DFT calculation (PBE) of a relaxed structure of Tb5HoPb4.

Cell lengths 3.663, 9.799, 9.027 Å; angles 91.97, 101.71, 90.00 degrees
Atoms (fractional coordinates):
Tb: 0.810 0.612 0.619
Tb: 0.845 0.241 0.690
Tb: 0.155 0.759 0.310
Tb: 0.500 0.500 0.000
Tb: 0.190 0.388 0.381
Ho: 0.500 0.000 0.000
Pb: 0.318 0.932 0.637
Pb: 0.975 0.751 0.949
Pb: 0.682 0.068 0.363
Pb: 0.025 0.249 0.051

Space-group type: C2/m (12)
ΔH_f (0 K): -0.205 eV/atom
Density: 9.37 g/cm³
Final energy: -0.1639 hartree per atom

Entry 5:
The following is a DFT calculation (PBE) of a relaxed structure of Tb2HoPb.

Cell lengths 4.867, 4.852, 4.852 Å; angles 90.00, 90.00, 90.00 degrees
Atoms (fractional coordinates):
Pb: 0.500 0.000 0.000
Tb: 0.000 0.000 0.500
Tb: 0.000 0.500 0.000
Ho: 0.500 0.500 0.500

Space-group type: P4/mmm (123)
ΔH_f (0 K): -0.284 eV/atom
Density: 10.00 g/cm³
Final energy: -0.1716 hartree per atom

Entry 6:
The following is a DFT calculation (PBE) of a relaxed structure of TbHoPb6.

Cell lengths 4.877, 4.877, 9.763 Å; angles 90.00, 90.00, 90.00 degrees
Atoms (fractional coordinates):
Tb: 0.000 0.000 0.500
Ho: 0.000 0.000 0.000
Pb: 0.500 0.500 0.000
Pb: 0.500 0.500 0.500
Pb: 0.500 0.000 0.249
Pb: 0.500 0.000 0.751
Pb: 0.000 0.500 0.249
Pb: 0.000 0.500 0.751

Space-group type: P4/mmm (123)
ΔH_f (0 K): -0.276 eV/atom
Density: 11.21 g/cm³
Final energy: -0.1546 hartree per atom

Entry 7:
The following is a DFT calculation (PBE) of a relaxed structure of Tb2Ho3Tm6Pb.

Cell lengths 6.032, 6.032, 11.579 Å; angles 95.01, 95.01, 120.04 degrees
Atoms (fractional coordinates):
Tb: 0.334 0.666 0.000
Tb: 0.666 0.334 0.000
Ho: 0.167 0.833 0.500
Ho: 0.833 0.167 0.500
Ho: 0.500 0.500 0.500
Tm: 0.917 0.588 0.751
Tm: 0.753 0.753 0.250
Tm: 0.083 0.412 0.249
Tm: 0.588 0.917 0.751
Tm: 0.247 0.247 0.750
Tm: 0.412 0.083 0.249
Pb: 0.000 0.000 0.000

Space-group type: C2/m (12)
ΔH_f (0 K): -0.052 eV/atom
Density: 9.40 g/cm³
Final energy: -0.1659 hartree per atom

Entry 8:
The following is a DFT calculation (PBE) of a relaxed structure of Tb3Ho2Tm6Pb.

Cell lengths 6.047, 6.047, 11.560 Å; angles 95.04, 95.04, 120.03 degrees
Atoms (fractional coordinates):
Tb: 0.167 0.833 0.500
Tb: 0.833 0.167 0.500
Tb: 0.500 0.500 0.500
Ho: 0.334 0.666 0.000
Ho: 0.666 0.334 0.000
Tm: 0.919 0.589 0.753
Tm: 0.752 0.752 0.249
Tm: 0.081 0.411 0.247
Tm: 0.589 0.919 0.753
Tm: 0.248 0.248 0.751
Tm: 0.411 0.081 0.247
Pb: 0.000 0.000 0.000

Space-group type: C2/m (12)
ΔH_f (0 K): -0.047 eV/atom
Density: 9.34 g/cm³
Final energy: -0.1658 hartree per atom

Question: ΔH_f (0 K) of number 6 (TbHoPb6)?
Answer: -0.276 eV/atom

Question: Look up the final energy of the seventh one.
Answer: -0.1659 hartree per atom